VASP calculation (PBE) on a geometry-optimized Na2YFeGe structure.

a b c (Å): 5.302 5.302 5.582
angles (deg): 90.00 90.00 90.00
Sites, in units of the cell vectors:
1 Na 0.000 0.500 0.000
2 Na 0.500 0.000 0.000
3 Y 0.000 0.000 0.500
4 Fe 0.500 0.500 0.500
5 Ge 0.000 0.000 0.000

Computed properties:
* mass density: 2.8 g/cm³
* M_tot: 0.59 μB per atom
* DFT total energy: -3.76 eV per atom
* formation energy: 3.361 eV per formula unit

VASP calculation (PBE) on a geometry-optimized NaZn2FeGe structure.

a b c (Å): 4.694 4.694 4.444
angles (deg): 90.00 90.00 90.00
Sites, in units of the cell vectors:
1 Na 0.000 0.000 0.000
2 Zn 0.000 0.500 0.500
3 Zn 0.500 0.000 0.500
4 Fe 0.500 0.500 0.500
5 Ge 0.500 0.500 0.000

Computed properties:
* mass density: 4.8 g/cm³
* M_tot: 0.00 μB per atom
* DFT total energy: -3.33 eV per atom
* formation energy: 0.290 eV per formula unit

VASP calculation (PBE) on a geometry-optimized NbFe2Ge structure.

a b c (Å): 4.002 4.002 3.278
angles (deg): 90.00 90.00 90.00
Sites, in units of the cell vectors:
1 Nb 0.000 0.000 0.000
2 Fe 0.000 0.500 0.500
3 Fe 0.500 0.000 0.500
4 Ge 0.500 0.500 0.000

Computed properties:
* mass density: 8.8 g/cm³
* M_tot: 0.00 μB per atom
* DFT total energy: -8.02 eV per atom
* formation energy: -0.476 eV per formula unit

VASP calculation (PBE) on a geometry-optimized NbFe2Ge structure.

a b c (Å): 5.508 5.508 5.508
angles (deg): 102.88 102.88 123.66
Sites, in units of the cell vectors:
1 Nb 0.000 0.000 0.000
2 Nb 0.750 0.250 0.500
3 Fe 0.145 0.625 0.020
4 Fe 0.375 0.395 0.520
5 Fe 0.605 0.125 0.980
6 Fe 0.875 0.855 0.480
7 Ge 0.250 0.750 0.500
8 Ge 0.500 0.500 0.000

Computed properties:
* mass density: 7.5 g/cm³
* M_tot: 1.19 μB per atom
* DFT total energy: -7.51 eV per atom
* formation energy: 1.571 eV per formula unit

VASP calculation (PBE) on a geometry-optimized Nb3FeGe structure.

a b c (Å): 4.575 4.575 4.575
angles (deg): 90.00 90.00 90.00
Sites, in units of the cell vectors:
1 Nb 0.000 0.000 0.500
2 Nb 0.000 0.500 0.000
3 Nb 0.500 0.000 0.000
4 Fe 0.000 0.000 0.000
5 Ge 0.500 0.500 0.500

Computed properties:
* mass density: 7.1 g/cm³
* M_tot: 0.00 μB per atom
* DFT total energy: -8.08 eV per atom
* ΔE to the lowest computed polymorph: 0.00 kcal/mol of atoms
* formation energy: 2.877 eV per formula unit

VASP calculation (PBE) on a geometry-optimized Nb2FeGe2 structure.

a b c (Å): 6.118 6.118 4.158
angles (deg): 90.00 90.00 90.00
Sites, in units of the cell vectors:
1 Nb 0.161 0.339 0.000
2 Nb 0.339 0.839 0.000
3 Nb 0.661 0.161 0.000
4 Nb 0.839 0.661 0.000
5 Fe 0.000 0.000 0.500
6 Fe 0.500 0.500 0.500
7 Ge 0.146 0.646 0.500
8 Ge 0.354 0.146 0.500
9 Ge 0.646 0.854 0.500
10 Ge 0.854 0.354 0.500

Computed properties:
* mass density: 8.3 g/cm³
* M_tot: 0.00 μB per atom
* DFT total energy: -7.82 eV per atom
* formation energy: -1.261 eV per formula unit

VASP calculation (PBE) on a geometry-optimized Nb2FeGe3 structure.

a b c (Å): 7.367 7.367 2.891
angles (deg): 90.00 90.00 138.15
Sites, in units of the cell vectors:
1 Nb 0.167 0.833 0.000
2 Nb 0.833 0.167 0.000
3 Fe 0.500 0.500 0.500
4 Ge 0.000 0.000 0.500
5 Ge 0.357 0.643 0.000
6 Ge 0.643 0.357 0.000

Computed properties:
* mass density: 7.3 g/cm³
* M_tot: 0.35 μB per atom
* DFT total energy: -6.88 eV per atom
* formation energy: 1.192 eV per formula unit

VASP calculation (PBE) on a geometry-optimized Nb2FeGe2 structure.

a b c (Å): 7.530 7.530 7.530
angles (deg): 153.24 153.24 38.20
Sites, in units of the cell vectors:
1 Nb 0.100 0.100 0.000
2 Nb 0.900 0.900 0.000
3 Fe 0.500 0.500 0.000
4 Ge 0.250 0.750 0.500
5 Ge 0.750 0.250 0.500

Computed properties:
* mass density: 7.4 g/cm³
* M_tot: 0.37 μB per atom
* DFT total energy: -7.33 eV per atom
* formation energy: 1.197 eV per formula unit

VASP calculation (PBE) on a geometry-optimized Nb3FeGe structure.

a b c (Å): 4.700 4.700 4.700
angles (deg): 90.00 90.00 90.00
Sites, in units of the cell vectors:
1 Nb 0.000 0.000 0.500
2 Nb 0.000 0.500 0.000
3 Nb 0.500 0.000 0.000
4 Fe 0.500 0.500 0.500
5 Ge 0.000 0.000 0.000

Computed properties:
* mass density: 6.5 g/cm³
* M_tot: 0.00 μB per atom
* DFT total energy: -7.30 eV per atom
* ΔE to the lowest computed polymorph: 18.04 kcal/mol of atoms
* formation energy: 6.787 eV per formula unit

VASP calculation (PBE) on a geometry-optimized Nb2Fe3Ge2 structure.

a b c (Å): 10.607 10.607 2.926
angles (deg): 90.00 90.00 160.81
Sites, in units of the cell vectors:
1 Nb 0.122 0.878 0.000
2 Nb 0.878 0.122 0.000
3 Fe 0.000 0.000 0.000
4 Fe 0.443 0.557 0.500
5 Fe 0.557 0.443 0.500
6 Ge 0.306 0.694 0.500
7 Ge 0.694 0.306 0.500

Computed properties:
* mass density: 7.7 g/cm³
* M_tot: 0.63 μB per atom
* DFT total energy: -7.74 eV per atom
* formation energy: 0.614 eV per formula unit

VASP calculation (PBE) on a geometry-optimized NbFeGe2 structure.

a b c (Å): 3.671 3.671 9.194
angles (deg): 90.00 90.00 90.00
Sites, in units of the cell vectors:
1 Nb 0.250 0.250 0.225
2 Nb 0.750 0.750 0.775
3 Fe 0.250 0.750 0.500
4 Fe 0.750 0.250 0.500
5 Ge 0.250 0.250 0.684
6 Ge 0.250 0.750 0.000
7 Ge 0.750 0.250 0.000
8 Ge 0.750 0.750 0.316

Computed properties:
* mass density: 7.9 g/cm³
* M_tot: 0.67 μB per atom
* DFT total energy: -7.21 eV per atom
* formation energy: -1.081 eV per formula unit

VASP calculation (PBE) on a geometry-optimized NbFe6Ge6 structure.

a b c (Å): 5.023 5.023 8.076
angles (deg): 90.00 90.00 120.00
Sites, in units of the cell vectors:
1 Nb 0.000 0.000 0.000
2 Fe 0.000 0.500 0.249
3 Fe 0.000 0.500 0.751
4 Fe 0.500 0.000 0.249
5 Fe 0.500 0.000 0.751
6 Fe 0.500 0.500 0.249
7 Fe 0.500 0.500 0.751
8 Ge 0.000 0.000 0.338
9 Ge 0.000 0.000 0.662
10 Ge 0.333 0.667 0.000
11 Ge 0.333 0.667 0.500
12 Ge 0.667 0.333 0.000
13 Ge 0.667 0.333 0.500

Computed properties:
* mass density: 8.1 g/cm³
* M_tot: 0.90 μB per atom
* DFT total energy: -6.98 eV per atom
* formation energy: -2.150 eV per formula unit